LiIrPd2 | the Alexandria database | PBE | optimized geometry; magnetic moment = 0.00 Bohr magnetons per cell; DOS at the Fermi energy = 1.291 states/eV/atom; energy of formation = -0.15 eV/atom; distance to the lowest polymorph of the same formula = 0.23 eV/f.u.; uncorrected energy = -21.8 eV per cell
1.0
-0.2619 0.7782 2.5993
3.5940 -2.6783 1.1640
2.8862 3.5389 -0.7687
Li Ir Pd
1 1 2
direct
0.5000 0.0000 0.0000
0.5000 0.5000 0.5000
0.0000 0.0000 0.5000
0.0000 0.5000 0.0000

LiIrPd3 | the Alexandria database | PBE | optimized geometry; magnetic moment = 1.03 Bohr magnetons per cell; DOS at the Fermi energy = 1.442 states/eV/atom; energy of formation = 0.59 eV/atom; distance to the lowest polymorph of the same formula = 0.00 eV/f.u.; uncorrected energy = -23.4 eV per cell
1.0
-0.4499 1.5327 -3.8590
0.4641 -3.8387 -1.5787
-4.1262 -0.5989 0.2432
Li Pd Ir
1 3 1
direct
0.0000 0.0000 0.0000
0.5000 0.0000 0.0000
0.0000 0.5000 0.0000
0.0000 0.0000 0.5000
0.5000 0.5000 0.5000

LiIr3Pd | the Alexandria database | PBE | optimized geometry; magnetic moment = 0.00 Bohr magnetons per cell; DOS at the Fermi energy = 1.565 states/eV/atom; energy of formation = 0.96 eV/atom; distance to the lowest polymorph of the same formula = 0.00 eV/f.u.; uncorrected energy = -28.9 eV per cell
1.0
4.1332 0.0000 0.0000
0.0000 4.1332 0.0000
0.0000 0.0000 4.1332
Ir Li Pd
3 1 1
direct
0.0000 0.0000 0.5000
0.5000 0.0000 0.0000
0.0000 0.5000 0.0000
0.0000 0.0000 0.0000
0.5000 0.5000 0.5000

Li2IrPd5 | the Alexandria database | PBE | optimized geometry; magnetic moment = 0.08 Bohr magnetons per cell; DOS at the Fermi energy = 0.944 states/eV/atom; energy of formation = -0.20 eV/atom; uncorrected energy = -40.2 eV per cell
1.0
-2.7332 -4.5761 0.6632
2.6512 0.6710 -4.6229
3.7644 -0.0031 3.8314
Ir Li Pd
1 2 5
direct
0.7779 0.7774 0.0000
0.7781 0.2784 0.5000
0.2780 0.7784 0.5000
0.7776 0.7780 0.5000
0.2779 0.7776 0.0000
0.2775 0.2780 0.5000
0.2780 0.2776 0.0000
0.7780 0.2776 0.0000

LiIrPd2 | the Alexandria database | PBE | optimized geometry; magnetic moment = 1.52 Bohr magnetons per cell; DOS at the Fermi energy = 1.262 states/eV/atom; energy of formation = 0.05 eV/atom; distance to the lowest polymorph of the same formula = 1.04 eV/f.u.; uncorrected energy = -20.9 eV per cell
1.0
0.0000 3.0872 3.0872
3.0872 0.0000 3.0872
3.0872 3.0872 0.0000
Pd Li Ir
2 1 1
direct
0.2500 0.2500 0.2500
0.7500 0.7500 0.7500
0.0000 0.0000 0.0000
0.5000 0.5000 0.5000

Li2IrPd | the Alexandria database | PBE | optimized geometry; magnetic moment = 0.00 Bohr magnetons per cell; DOS at the Fermi energy = 0.722 states/eV/atom; energy of formation = -0.30 eV/atom; distance to the lowest polymorph of the same formula = 0.00 eV/f.u.; uncorrected energy = -19.1 eV per cell
1.0
-1.8271 -1.6721 -1.1198
0.6639 -1.4690 -2.1885
2.3180 -7.4164 3.9936
Ir Li Pd
1 2 1
direct
0.0000 0.0000 0.0000
0.2505 0.2505 0.2484
0.7495 0.7495 0.7516
0.5000 0.5000 0.5000